The following is a PBE calculation of crystalline Sm2YAl3 at its relaxed geometry, from Alexandria.

Summary:
Size of the total moment   0.000 μB per cell
Energy   -29.5 eV/cell

The structure in POSCAR format:
```
Sm2YAl3
1.0
3.643 0.000 0.000
0.000 3.643 0.000
0.000 0.000 11.035
Sm Y Al
2 1 3
direct
0.500 0.500 0.831
0.500 0.500 0.169
0.500 0.500 0.500
0.000 0.000 0.000
0.000 0.000 0.660
0.000 0.000 0.340
```